## Pm6Nd2Mg (PBE)

Data for an optimized crystal structure of Pm6Nd2Mg.

Calculated values
N(E_F), states/eV per cell: 23.88
Calculated density, g cm⁻³: 6.54
E above lowest polymorph, eV per formula unit: 0.45
Space-group type: No. 15
E_form, kJ/mol of atoms: 6.2
Raw total energy, eV for the cell shown: -78.12

a = 11.676 Å, b = 11.676 Å, c = 6.180 Å
α = 105.34°, β = 105.34°, γ = 48.12°
Fractional positions:
Pm  0.002  0.152  0.227
Pm  0.083  0.583  0.083
Pm  0.152  0.002  0.727
Pm  0.348  0.498  0.572
Pm  0.417  0.917  0.417
Pm  0.498  0.348  0.072
Pm  0.502  0.652  0.928
Pm  0.583  0.083  0.583
Pm  0.652  0.502  0.428
Pm  0.848  0.998  0.273
Pm  0.917  0.417  0.917
Pm  0.998  0.848  0.773
Nd  0.170  0.330  0.546
Nd  0.330  0.170  0.046
Nd  0.670  0.830  0.954
Nd  0.830  0.670  0.454
Mg  0.250  0.750  0.250
Mg  0.750  0.250  0.750